1.
Crystalline Ca2NiGe at its relaxed geometry. Source: Alexandria, functional PBE-GGA.

Summary:
The value obtained for the final energy is -4.06 eV per atom.

Unit cell a=4.1362 b=4.1362 c=22.2521 alpha=90.00 beta=90.00 gamma=120.00
Space group R3m (No. 160, hexagonal axes)
Asymmetric unit:
Ca (0.0000, 0.0000, 0.0000) (multiplicity 3)
Ca (0.0000, 0.0000, 0.1694) (multiplicity 3)
Ni (0.0000, 0.0000, 0.4175) (multiplicity 3)
Ge (0.0000, 0.0000, 0.7515) (multiplicity 3)



2.
Crystalline Ca2Ni3Ge4 at its relaxed geometry. Source: Alexandria, functional PBE-GGA.

Summary:
The value obtained for the final energy is -4.84 eV per atom.

Unit cell a=5.395 b=9.586 c=12.196 alpha=90.00 beta=90.00 gamma=90.00
Space group Fmmm (No. 69)
Asymmetric unit:
Ca (0.000, 0.000, 0.136) (multiplicity 8)
Ni (0.000, 0.000, 0.500) (multiplicity 4)
Ni (0.250, 0.250, 0.000) (multiplicity 8)
Ge (0.000, 0.174, 0.349) (multiplicity 16)



3.
Crystalline CaNi4Ge at its relaxed geometry. Source: Alexandria, functional PBE-GGA.

Summary:
The energy above the most stable polymorph in this dataset is 0 meV/atom.

Unit cell a=3.728 b=14.724 c=6.294 alpha=90.00 beta=90.00 gamma=90.00
Space group Cmcm (No. 63)
Asymmetric unit:
Ca (0.000, 0.104, 0.250) (multiplicity 4)
Ni (0.000, 0.080, 0.750) (multiplicity 4)
Ni (0.000, 0.325, 0.058) (multiplicity 8)
Ni (0.000, 0.500, 0.000) (multiplicity 4)
Ge (0.000, 0.237, 0.750) (multiplicity 4)



4.
Crystalline CaNi2Ge4 at its relaxed geometry. Source: Alexandria, functional PBE-GGA.

Summary:
The energy above the most stable polymorph in this dataset is 0 meV/atom.

Unit cell a=17.026 b=4.146 c=6.564 alpha=90.00 beta=90.00 gamma=90.00
Space group Pnma (No. 62)
Asymmetric unit:
Ca (0.142, 0.250, 0.001) (multiplicity 4)
Ni (0.033, 0.750, 0.246) (multiplicity 4)
Ni (0.211, 0.250, 0.519) (multiplicity 4)
Ge (0.031, 0.750, 0.861) (multiplicity 4)
Ge (0.066, 0.250, 0.480) (multiplicity 4)
Ge (0.180, 0.750, 0.311) (multiplicity 4)
Ge (0.196, 0.750, 0.720) (multiplicity 4)



D(E_F) values, unit states/eV/cell, following the record order: 6.6; 24.5; 17.3; 11.3.